*1*
SrZr2Ag (PBE-GGA, optimized geometry); total magnetic moment = 1.83 μB per formula unit; symmetry = No. 119
1.0
5.558 0.000 0.000
1.391 5.381 0.000
-3.475 -2.691 3.403
Ag Sr Zr
1 1 2
Cartesian
3.475 2.691 0.000
2.779 0.000 1.701
0.000 0.000 0.000
0.696 2.690 1.701

***

*2*
SrZr2Ag (PBE-GGA, optimized geometry); total magnetic moment = 0.00 μB per formula unit; symmetry = No. 122
1.0
-0.952 -3.413 2.338
4.124 -0.590 0.818
0.660 4.831 11.175
Sr Zr Ag
2 4 2
Cartesian
1.586 -2.002 1.578
3.185 1.119 6.786
0.066 -1.068 4.405
2.643 0.481 3.550
1.601 2.134 9.548
3.354 0.108 11.159
0.000 0.000 0.000
0.647 -0.292 7.546

***

*3*
SrZr2Ag (PBE-GGA, optimized geometry); total magnetic moment = 1.47 μB per formula unit; symmetry = No. 123
1.0
-0.272 -0.272 -4.331
4.038 -1.603 -0.153
-1.998 -5.074 0.444
Ag Sr Zr
1 1 2
Cartesian
-1.135 -2.673 -1.943
1.020 -3.339 0.146
0.000 0.000 0.000
1.883 -0.938 -2.242

***

Relative energies, in meV per atom, with the most stable structure set to zero: *1* 61; *2* 77; *3* 0.

***

*1*
SrZr2Ag (PBE-GGA, optimized geometry); total magnetic moment = 0.00 μB per formula unit; symmetry = No. 65
1.0
-2.258 -2.091 5.371
2.778 -3.683 -4.127
2.773 0.547 1.379
Ag Sr Zr
1 1 2
Cartesian
0.258 -0.772 3.375
2.776 -1.568 -1.374
0.000 0.000 0.000
0.260 -2.887 0.622

***

*2*
SrZr2Ag (PBE-GGA, optimized geometry); total magnetic moment = 0.00 μB per formula unit; symmetry = No. 139
1.0
-3.366 4.920 -2.192
-3.245 -0.227 -5.455
0.853 -3.356 5.325
Ag Sr Zr
1 1 2
Cartesian
-2.849 -0.618 -1.977
-2.910 1.955 -0.346
0.000 0.000 0.000
-3.306 2.347 -3.824

***

*3*
SrZr2Ag (PBE-GGA, optimized geometry); total magnetic moment = 0.00 μB per formula unit; symmetry = No. 47
1.0
-2.323 -0.961 2.045
2.552 -4.190 0.930
2.940 2.827 4.670
Ag Sr Zr
1 1 2
Cartesian
0.849 -1.869 2.655
2.319 -0.455 4.990
0.057 0.055 0.091
1.413 1.358 2.244

***

*4*
SrZr2Ag (PBE-GGA, optimized geometry); total magnetic moment = 0.00 μB per formula unit; symmetry = No. 8
1.0
5.540 0.012 0.009
4.564 3.140 0.009
1.297 0.405 6.200
Ag Sr Zr
1 1 2
Cartesian
5.528 1.725 3.250
2.750 0.858 1.774
1.396 0.436 5.622
8.723 2.722 4.883

***

Relative energies, in meV per atom, with the most stable structure set to zero: *1* 212; *2* 98; *3* 202; *4* 0.

***

*1*
SrZr3Ag (PBE-GGA, optimized geometry); total magnetic moment = 0.00 μB per formula unit; symmetry = No. 221
1.0
-1.839 -4.630 -1.382
-1.169 -1.008 4.934
-4.688 2.068 -0.688
Sr Zr Ag
1 3 1
Cartesian
0.000 0.000 0.000
-0.585 -0.504 2.467
-2.344 1.034 -0.344
-0.920 -2.315 -0.691
-3.848 -1.785 1.432

***

*2*
SrZr3Ag (PBE-GGA, optimized geometry); total magnetic moment = 0.95 μB per formula unit; symmetry = No. 221
1.0
-4.423 -2.591 -1.422
2.956 -3.900 -2.087
-0.026 -2.525 4.682
Sr Zr Ag
1 3 1
Cartesian
-0.747 -4.508 0.586
1.478 -1.950 -1.043
-0.013 -1.263 2.341
-2.211 -1.296 -0.711
0.000 0.000 0.000

***

Relative energies, in meV per atom, with the most stable structure set to zero: *1* 1083; *2* 0.

***

*1*
Ta3Ag (PBE-GGA, optimized geometry); total magnetic moment = 0.00 μB per formula unit; symmetry = No. 194
1.0
2.514 5.160 1.230
-5.800 -0.311 -0.848
-0.650 -0.815 4.749
Ta Ag
6 2
Cartesian
0.987 4.058 2.076
-4.924 -0.024 3.055
-1.958 3.901 1.646
-1.979 0.134 3.486
-0.289 1.439 1.452
-3.647 2.596 3.680
-3.191 1.309 1.032
-0.745 2.725 4.099

***

*2*
Ta3Ag (PBE-GGA, optimized geometry); total magnetic moment = 0.00 μB per formula unit; symmetry = No. 123
1.0
4.404 0.000 0.000
0.000 4.404 0.000
0.000 0.000 3.700
Ag Ta
1 3
Cartesian
0.000 0.000 0.000
0.000 2.202 1.850
2.202 0.000 1.850
2.202 2.202 0.000

***

*3*
Ta3Ag (PBE-GGA, optimized geometry); total magnetic moment = 0.00 μB per formula unit; symmetry = No. 166
1.0
-4.057 3.381 -1.664
-1.009 -3.191 4.411
5.207 1.735 -0.735
Ag Ta
1 3
Cartesian
0.000 0.000 0.000
2.099 -0.728 1.838
0.575 2.558 -1.200
-2.533 0.095 1.373

***

Relative energies, in meV per atom, with the most stable structure set to zero: *1* 81; *2* 25; *3* 0.

***

*1*
Ta4Ag (PBE-GGA, optimized geometry); total magnetic moment = 0.00 μB per formula unit; symmetry = No. 139
1.0
5.817 -3.677 2.248
1.977 -3.171 6.200
-5.068 1.060 -5.060
Ta Ag
4 1
Cartesian
2.323 -3.020 0.706
3.135 -2.755 3.399
4.658 -4.093 5.050
0.403 -2.767 2.682
0.000 0.000 0.000

***

*2*
Ta4Ag (PBE-GGA, optimized geometry); total magnetic moment = 0.00 μB per formula unit; symmetry = No. 87
1.0
-3.648 3.648 1.720
3.648 -3.648 1.720
3.648 3.648 -1.720
Ta Ag
4 1
Cartesian
0.712 2.249 1.720
2.936 1.399 0.000
1.399 4.360 0.000
2.249 -0.712 1.720
0.000 0.000 0.000

***

*3*
Ta4Ag (PBE-GGA, optimized geometry); total magnetic moment = 0.00 μB per formula unit; symmetry = No. 221
1.0
4.837 0.000 0.000
0.000 4.837 0.000
0.000 0.000 4.837
Ag Ta
1 4
Cartesian
2.418 2.418 2.418
0.000 0.000 0.000
2.418 0.000 2.418
0.000 2.418 2.418
2.418 2.418 0.000

***

Relative energies, in meV per atom, with the most stable structure set to zero: *1* 725; *2* 0; *3* 1860.

***

*1*
Ta3Ag5 (PBE-GGA, optimized geometry); total magnetic moment = 0.00 μB per formula unit; symmetry = No. 8
1.0
-1.651 6.202 5.352
-2.875 -3.973 -6.766
-1.782 -5.449 4.755
Ag Ta
10 6
Cartesian
-4.438 -7.336 -0.451
-0.822 -0.566 1.886
-3.438 -4.816 -0.805
-4.218 -5.512 1.721
-2.633 -1.346 4.091
-3.241 -0.752 -0.369
-2.650 1.450 1.320
-2.426 1.540 4.148
-5.213 -2.870 0.241
-2.306 4.315 4.732
-2.552 -2.853 1.557
-2.531 -4.443 3.837
-2.612 -2.842 -2.546
-3.743 -1.354 6.711
-4.776 -3.182 3.304
-4.686 -0.665 2.128

***

*2*
Ta3Ag5 (PBE-GGA, optimized geometry); total magnetic moment = 0.00 μB per formula unit; symmetry = No. 193
1.0
-6.157 -0.387 5.496
2.675 -6.887 -3.705
3.452 -0.713 3.817
Ag Ta
10 6
Cartesian
1.422 -1.619 0.179
-1.452 -6.369 5.428
-0.424 -0.260 2.103
1.861 -2.055 3.237
-0.270 -4.720 -0.637
1.456 -5.077 1.271
-3.213 -2.553 2.429
-1.487 -2.910 4.337
0.394 -7.727 3.505
-1.892 -5.932 2.371
-2.397 -3.936 6.737
2.367 -4.052 -1.130
2.569 -7.590 1.563
-0.661 -3.362 1.738
-2.599 -0.396 4.045
0.630 -4.625 3.870

***

Relative energies, in meV per atom, with the most stable structure set to zero: *1* 0; *2* 226.

***

*1*
TaTcAg (PBE-GGA, optimized geometry); total magnetic moment = 0.00 μB per formula unit; symmetry = No. 107
1.0
5.296 -0.018 0.000
3.270 4.166 0.000
-4.283 -2.074 2.325
Ag Ta Tc
1 1 1
Cartesian
0.001 0.000 0.000
2.704 1.309 0.000
5.861 2.838 0.000

***

*2*
TaTcAg (PBE-GGA, optimized geometry); total magnetic moment = 0.00 μB per formula unit; symmetry = No. 156
1.0
-1.955 0.205 -4.175
2.255 -3.808 1.307
-2.292 -1.006 1.024
Ag Ta Tc
1 1 1
Cartesian
-0.026 -0.012 0.012
-1.359 -1.487 -1.987
-0.606 -3.110 0.131

***

*3*
TaTcAg (PBE-GGA, optimized geometry); total magnetic moment = 0.00 μB per formula unit; symmetry = No. 44
1.0
5.010 0.002 0.001
2.419 4.387 -0.001
-3.126 -3.190 2.269
Ag Ta Tc
1 1 1
Cartesian
0.014 0.008 0.000
2.462 1.455 0.000
4.953 2.926 0.000

***

*4*
TaTcAg (PBE-GGA, optimized geometry); total magnetic moment = 0.00 μB per formula unit; symmetry = No. 107
1.0
-5.534 1.138 4.116
-6.890 1.064 0.497
5.928 -3.008 -2.161
Ag Ta Tc
1 1 1
Cartesian
-0.026 0.005 0.010
-4.110 0.729 1.526
-8.288 1.469 3.077

***

Relative energies, in meV per atom, with the most stable structure set to zero: *1* 0; *2* 52; *3* 74; *4* 163.

***

*1*
TaTcAg3 (PBE-GGA, optimized geometry); total magnetic moment = 4.29 μB per formula unit; symmetry = No. 221
1.0
-1.920 4.631 0.770
-3.444 -1.955 3.169
3.190 0.677 3.885
Tc Ag Ta
1 3 1
Cartesian
-1.087 1.676 3.912
-1.722 -0.978 1.585
1.595 0.338 1.942
-0.960 2.316 0.385
0.000 0.000 0.000

***

*2*
TaTcAg3 (PBE-GGA, optimized geometry); total magnetic moment = 1.42 μB per formula unit; symmetry = No. 221
1.0
-3.958 2.075 1.924
-2.223 -4.326 0.092
1.750 -0.804 4.467
Tc Ag Ta
1 3 1
Cartesian
0.000 0.000 0.000
-1.112 -2.163 0.046
0.875 -0.402 2.234
-1.979 1.037 0.962
-2.215 -1.528 3.242

***

Relative energies, in meV per atom, with the most stable structure set to zero: *1* 0; *2* 35.